*w*
Crystalline LiLaS at its relaxed geometry, computed with GGA-PBE.

Values from the calculation:
- size of the total moment (μB per cell) = 0.0
- SG = R-3m

a = 9.992 Å, b = 9.992 Å, c = 9.992 Å
α = 23.34°, β = 23.34°, γ = 23.34°
Sites, in units of the cell vectors:
Li 0.249 0.249 0.249
Li 0.751 0.751 0.751
La 0.000 0.000 0.000
La 0.500 0.500 0.500
S 0.103 0.103 0.103
S 0.897 0.897 0.897

---

*x*
Crystalline LiLaS at its relaxed geometry, computed with GGA-PBE.

Values from the calculation:
- size of the total moment (μB per cell) = 0.0
- SG = R3m

a = 5.412 Å, b = 5.412 Å, c = 5.412 Å
α = 43.58°, β = 43.58°, γ = 43.58°
Sites, in units of the cell vectors:
Li 0.000 0.000 0.000
La 0.503 0.503 0.503
S 0.305 0.305 0.305

---

The structure with the least stability is *x*.

---

*w*
Crystalline Li3LaSb at its relaxed geometry, computed with GGA-PBE.

Values from the calculation:
- size of the total moment (μB per cell) = 3.0
- SG = Pm-3m

a = 5.329 Å, b = 5.329 Å, c = 5.329 Å
α = 90.00°, β = 90.00°, γ = 90.00°
Sites, in units of the cell vectors:
Li 0.000 0.000 0.500
Li 0.000 0.500 0.000
Li 0.500 0.000 0.000
La 0.000 0.000 0.000
Sb 0.500 0.500 0.500

---

*x*
Crystalline Li3LaSb at its relaxed geometry, computed with GGA-PBE.

Values from the calculation:
- size of the total moment (μB per cell) = 0.0
- SG = Pm-3m

a = 5.013 Å, b = 5.013 Å, c = 5.013 Å
α = 90.00°, β = 90.00°, γ = 90.00°
Sites, in units of the cell vectors:
Li 0.000 0.000 0.500
Li 0.000 0.500 0.000
Li 0.500 0.000 0.000
La 0.500 0.500 0.500
Sb 0.000 0.000 0.000

---

The structure with the least stability is *w*.

---

*w*
Crystalline Li2LaSb2 at its relaxed geometry, computed with GGA-PBE.

Values from the calculation:
- size of the total moment (μB per cell) = 0.2
- SG = P4/mbm

a = 8.643 Å, b = 8.643 Å, c = 3.412 Å
α = 90.00°, β = 90.00°, γ = 90.00°
Sites, in units of the cell vectors:
Li 0.127 0.373 0.000
Li 0.373 0.873 0.000
Li 0.627 0.127 0.000
Li 0.873 0.627 0.000
La 0.000 0.000 0.500
La 0.500 0.500 0.500
Sb 0.166 0.666 0.500
Sb 0.334 0.166 0.500
Sb 0.666 0.834 0.500
Sb 0.834 0.334 0.500

---

*x*
Crystalline Li2LaSb2 at its relaxed geometry, computed with GGA-PBE.

Values from the calculation:
- size of the total moment (μB per cell) = 0.0
- SG = I4/mmm

a = 6.962 Å, b = 6.962 Å, c = 6.962 Å
α = 142.92°, β = 142.92°, γ = 53.45°
Sites, in units of the cell vectors:
Li 0.250 0.750 0.500
Li 0.750 0.250 0.500
La 0.000 0.000 0.000
Sb 0.380 0.380 0.000
Sb 0.620 0.620 0.000

---

The structure with the least stability is *w*.

---

*w*
Crystalline Li2LaSb2 at its relaxed geometry, computed with GGA-PBE.

Values from the calculation:
- size of the total moment (μB per cell) = 0.0
- SG = P4/mbm

a = 8.373 Å, b = 8.373 Å, c = 3.340 Å
α = 90.00°, β = 90.00°, γ = 90.00°
Sites, in units of the cell vectors:
Li 0.111 0.389 0.000
Li 0.389 0.889 0.000
Li 0.611 0.111 0.000
Li 0.889 0.611 0.000
La 0.000 0.000 0.000
La 0.500 0.500 0.000
Sb 0.182 0.682 0.500
Sb 0.318 0.182 0.500
Sb 0.682 0.818 0.500
Sb 0.818 0.318 0.500

---

*x*
Crystalline Li2LaSb2 at its relaxed geometry, computed with GGA-PBE.

Values from the calculation:
- size of the total moment (μB per cell) = 0.0
- SG = P4/nmm

a = 4.666 Å, b = 4.666 Å, c = 11.013 Å
α = 90.00°, β = 90.00°, γ = 90.00°
Sites, in units of the cell vectors:
Li 0.250 0.250 0.121
Li 0.250 0.750 0.500
Li 0.750 0.250 0.500
Li 0.750 0.750 0.879
La 0.250 0.250 0.766
La 0.750 0.750 0.234
Sb 0.250 0.250 0.355
Sb 0.250 0.750 0.000
Sb 0.750 0.250 0.000
Sb 0.750 0.750 0.645

---

The structure with the least stability is *w*.

---

*w*
Crystalline LiLa2Sb2 at its relaxed geometry, computed with GGA-PBE.

Values from the calculation:
- size of the total moment (μB per cell) = 1.6
- SG = P4/mbm

a = 8.415 Å, b = 8.415 Å, c = 4.356 Å
α = 90.00°, β = 90.00°, γ = 90.00°
Sites, in units of the cell vectors:
Li 0.000 0.000 0.000
Li 0.500 0.500 0.000
La 0.150 0.350 0.500
La 0.350 0.850 0.500
La 0.650 0.150 0.500
La 0.850 0.650 0.500
Sb 0.158 0.658 0.000
Sb 0.342 0.158 0.000
Sb 0.658 0.842 0.000
Sb 0.842 0.342 0.000

---

*x*
Crystalline LiLa2Sb2 at its relaxed geometry, computed with GGA-PBE.

Values from the calculation:
- size of the total moment (μB per cell) = 0.0
- SG = P4/mbm

a = 8.807 Å, b = 8.807 Å, c = 4.092 Å
α = 90.00°, β = 90.00°, γ = 90.00°
Sites, in units of the cell vectors:
Li 0.000 0.000 0.000
Li 0.500 0.500 0.000
La 0.139 0.361 0.000
La 0.361 0.861 0.000
La 0.639 0.139 0.000
La 0.861 0.639 0.000
Sb 0.164 0.664 0.500
Sb 0.336 0.164 0.500
Sb 0.664 0.836 0.500
Sb 0.836 0.336 0.500

---

The structure with the least stability is *x*.

---

*w*
Crystalline LiLaSbTe2 at its relaxed geometry, computed with GGA-PBE.

Values from the calculation:
- size of the total moment (μB per cell) = 0.0
- SG = P4/mmm

a = 5.348 Å, b = 5.348 Å, c = 4.876 Å
α = 90.00°, β = 90.00°, γ = 90.00°
Sites, in units of the cell vectors:
Li 0.000 0.000 0.000
La 0.500 0.500 0.500
Sb 0.000 0.000 0.500
Te 0.000 0.500 0.000
Te 0.500 0.000 0.000

---

*x*
Crystalline LiLaSbTe2 at its relaxed geometry, computed with GGA-PBE.

Values from the calculation:
- size of the total moment (μB per cell) = 1.0
- SG = P4/mmm

a = 6.173 Å, b = 6.173 Å, c = 6.152 Å
α = 90.00°, β = 90.00°, γ = 90.00°
Sites, in units of the cell vectors:
Li 0.000 0.000 0.000
La 0.500 0.500 0.500
Sb 0.500 0.500 0.000
Te 0.000 0.500 0.500
Te 0.500 0.000 0.500

---

The structure with the least stability is *x*.

---

*w*
Crystalline LiLaSc2 at its relaxed geometry, computed with GGA-PBE.

Values from the calculation:
- size of the total moment (μB per cell) = 0.0
- SG = Pm

a = 3.348 Å, b = 5.064 Å, c = 6.503 Å
α = 90.00°, β = 104.84°, γ = 90.00°
Sites, in units of the cell vectors:
Li 0.000 0.000 0.000
La 0.388 0.500 0.762
Sc 0.142 0.500 0.256
Sc 0.737 0.000 0.453

---

*x*
Crystalline LiLaSc2 at its relaxed geometry, computed with GGA-PBE.

Values from the calculation:
- size of the total moment (μB per cell) = 0.9
- SG = P4mm

a = 3.541 Å, b = 3.541 Å, c = 8.414 Å
α = 90.00°, β = 90.00°, γ = 90.00°
Sites, in units of the cell vectors:
Li 0.000 0.000 0.000
La 0.500 0.500 0.731
Sc 0.000 0.000 0.442
Sc 0.500 0.500 0.205

---

*y*
Crystalline LiLaSc2 at its relaxed geometry, computed with GGA-PBE.

Values from the calculation:
- size of the total moment (μB per cell) = 1.0
- SG = I4/mmm

a = 6.088 Å, b = 6.088 Å, c = 6.088 Å
α = 136.21°, β = 136.21°, γ = 63.65°
Sites, in units of the cell vectors:
Li 0.000 0.000 0.000
La 0.500 0.500 0.000
Sc 0.250 0.750 0.500
Sc 0.750 0.250 0.500

---

The structure with the least stability is *y*.

---

*w*
Crystalline LiLaSc2 at its relaxed geometry, computed with GGA-PBE.

Values from the calculation:
- size of the total moment (μB per cell) = 0.0
- SG = P4/mmm

a = 3.588 Å, b = 3.588 Å, c = 7.975 Å
α = 90.00°, β = 90.00°, γ = 90.00°
Sites, in units of the cell vectors:
Li 0.000 0.000 0.000
La 0.000 0.000 0.500
Sc 0.500 0.500 0.206
Sc 0.500 0.500 0.794

---

*x*
Crystalline LiLaSc2 at its relaxed geometry, computed with GGA-PBE.

Values from the calculation:
- size of the total moment (μB per cell) = 0.0
- SG = I-4m2

a = 5.319 Å, b = 5.319 Å, c = 5.319 Å
α = 120.15°, β = 120.15°, γ = 89.73°
Sites, in units of the cell vectors:
Li 0.000 0.000 0.000
La 0.750 0.250 0.500
Sc 0.250 0.750 0.500
Sc 0.500 0.500 0.000

---

The structure with the least stability is *x*.